Compound: Ac7PmHo2
Source: Alexandria
Functional: PBE
Structure: relaxed

abc: 6.1285 9.6520 9.6519
angles: 63.54 90.00 90.00
Closest atoms and distances in Å follow each position.
Element x y z (fractional)
Ac  0.0000  0.2424  0.2424  2 Ho 3.20
Ac  0.0000  0.7576  0.7576  2 Ho 3.20
Ac  0.5000  0.9396  0.3099  2 Ho 3.42-3.44, 2 Ac 3.76-3.80
Ac  0.5000  0.0604  0.6901  2 Ho 3.42-3.44, 2 Ac 3.76-3.80
Ac  0.5000  0.6901  0.0604  2 Ho 3.42-3.44, 2 Ac 3.76-3.80
Ac  0.5000  0.3099  0.9396  2 Ho 3.42-3.44, 2 Ac 3.76-3.80
Ac  0.5000  0.5000  0.5000  2 Ho 3.30
Pm  0.0000  0.0000  0.0000  10 Ac 3.98-4.14
Ho  0.5000  0.2987  0.2987  7 Ac 3.20-3.44
Ho  0.5000  0.7013  0.7013  7 Ac 3.20-3.44

## Properties
space group: Cmmm, No. 65
formation enthalpy at 0 K: 6.23 eV per formula unit



Compound: PrScCCl
Source: Alexandria
Functional: PBE
Structure: relaxed

abc: 3.8164 3.8164 14.3362
angles: 82.35 82.35 60.00
Closest atoms and distances in Å follow each position.
Element x y z (fractional)
Pr  0.0802  0.0802  0.7595  3 C 2.77, 3 Cl 2.88
Pr  0.9198  0.9198  0.2405  3 C 2.77, 3 Cl 2.88
Sc  0.6898  0.6898  0.9307  3 C 2.33
Sc  0.3102  0.3102  0.0693  3 C 2.33
C  0.6258  0.6258  0.1225  3 Sc 2.33
C  0.3742  0.3742  0.8775  3 Sc 2.33
Cl  0.7903  0.7903  0.6290  3 Pr 2.88
Cl  0.2097  0.2097  0.3710  3 Pr 2.88

## Properties
space group: R-3m, No. 166



Compound: NdHoAu2
Source: Alexandria
Functional: PBE
Structure: relaxed

abc: 3.7949 4.7436 5.8993
angles: 90.00 108.86 90.00
Closest atoms and distances in Å follow each position.
Element x y z (fractional)
Nd  0.4430  0.5000  0.4253  7 Au 3.03-3.18
Ho  0.7200  0.0000  0.9786  7 Au 3.08-3.13
Au  0.1717  0.5000  0.8817  3 Nd 3.03-3.18, 2 Au 3.07, 4 Ho 3.08-3.09
Au  0.9964  0.0000  0.5323  2 Au 3.07, 3 Ho 3.09-3.13, 4 Nd 3.09-3.10

## Properties
space group: Pm, No. 6
formation enthalpy at 0 K: -3.34 eV per formula unit



Compound: Pr2Sm3Au2
Source: Alexandria
Functional: PBE
Structure: relaxed

abc: 3.8655 6.7730 9.3906
angles: 115.05 90.00 106.58
Closest atoms and distances in Å follow each position.
Element x y z (fractional)
Pr  0.8472  0.6944  0.1864  2 Au 3.23
Pr  0.1528  0.3056  0.8136  2 Au 3.23
Sm  0.5000  0.0000  0.0000  4 Au 2.99
Sm  0.6145  0.2290  0.4466  3 Au 3.06-3.11
Sm  0.3855  0.7710  0.5534  3 Au 3.06-3.11
Au  0.8348  0.6697  0.7678  5 Sm 2.99-3.11, 2 Pr 3.23
Au  0.1652  0.3303  0.2322  5 Sm 2.99-3.11, 2 Pr 3.23

## Properties
space group: C2/m, No. 12
formation enthalpy at 0 K: -3.28 eV per formula unit



Compound: YCuTe
Source: Alexandria
Functional: PBE
Structure: relaxed

abc: 4.3724 4.3724 10.9357
angles: 78.47 78.47 60.00
Closest atoms and distances in Å follow each position.
Element x y z (fractional)
Y  0.5582  0.5582  0.3254  3 Te 2.98, 6 Cu 3.07-3.20
Y  0.4418  0.4418  0.6746  3 Te 2.98, 6 Cu 3.07-3.20
Te  0.2745  0.2745  0.1765  3 Y 2.98, 1 Cu 3.33
Te  0.7255  0.7255  0.8235  3 Y 2.98, 1 Cu 3.33
Cu  0.8298  0.8298  0.5106  3 Cu 2.53
Cu  0.1702  0.1702  0.4894  3 Cu 2.53

## Properties
space group: R-3m, No. 166



Compound: NaCaNd
Source: Alexandria
Functional: PBE
Structure: relaxed

abc: 3.7810 3.7788 18.4939
angles: 89.95 90.00 120.02
Closest atoms and distances in Å follow each position.
Element x y z (fractional)
Na  0.9105  0.8209  0.6583  9 Na 3.78-3.81, 3 Ca 3.84-3.85
Na  0.5740  0.1480  0.4905  9 Na 3.78-3.81, 3 Ca 3.83
Ca  0.2400  0.4801  0.3204  6 Ca 3.78, 3 Nd 3.79, 3 Na 3.83
Ca  0.5752  0.1504  0.8293  6 Ca 3.78, 3 Nd 3.80, 3 Na 3.84-3.85
Nd  0.9069  0.8137  0.1528  9 Nd 3.60-3.78, 3 Ca 3.79
Nd  0.2409  0.4817  0.9976  9 Nd 3.60-3.78, 3 Ca 3.80

## Properties
space group: Cm, No. 8
formation enthalpy at 0 K: 0.13 eV per formula unit



Quick rundown of uncorrected energy, same order as above: -36.4, -51.8, -19.2, -33.6, -31.7, -15.9 eV per cell